Zr2Zn2Pt: optimized geometry, GGA-PBEsol.

abc: 3.8165 6.6744 6.6744
angles: 90.00 90.00 90.00
Sites, in units of the cell vectors:
Pt 0.0000 0.5000 0.5000
Pt 0.0000 0.0000 0.0000
Zn 0.0000 0.3716 0.8716
Zn 0.0000 0.1284 0.3716
Zn 0.0000 0.8716 0.6284
Zn 0.0000 0.6284 0.1284
Zr 0.5000 0.6735 0.8265
Zr 0.5000 0.3265 0.1735
Zr 0.5000 0.8265 0.3265
Zr 0.5000 0.1735 0.6735

Calculated values
SG: No. 127
ΔH_f (0 K) (meV per atom): -541